The following is a PBE-GGA calculation of BaTe2AuI after structural relaxation, from the Alexandria database.

```
BaTe2AuI
1.0
6.8580 0.0000 0.0000
0.0000 6.8580 0.0000
0.0000 0.0000 6.5854
Ba Te Au I
1 2 1 1
Direct
0.0000 0.0000 0.0000
0.0000 0.5000 0.0000
0.5000 0.0000 0.0000
0.5000 0.5000 0.5000
0.0000 0.0000 0.5000
```

Formation energy from raw total energies ... 0.33 eV per atom
V ... 61.95 Å³/atom
Polymorph energy (0 for the lowest one) ... 953 meV per atom

The following is a PBE-GGA calculation of PrSm2Se4 after structural relaxation, from the Alexandria database.

```
PrSm2Se4
1.0
2.0469 -6.9093 0.0000
2.0469 6.9093 0.0000
0.0000 0.0000 14.0959
Pr Sm Se
2 4 8
Direct
0.1251 0.8749 0.7500
0.8749 0.1251 0.2500
0.3699 0.6301 0.5688
0.3699 0.6301 0.9312
0.6301 0.3699 0.0688
0.6301 0.3699 0.4312
0.0000 0.0000 0.0000
0.0000 0.0000 0.5000
0.2753 0.7247 0.1215
0.2753 0.7247 0.3785
0.4667 0.5333 0.7500
0.5333 0.4667 0.2500
0.7247 0.2753 0.6215
0.7247 0.2753 0.8785
```

Formation energy from raw total energies ... -1.87 eV per atom
V ... 28.48 Å³/atom
Polymorph energy (0 for the lowest one) ... 0 meV per atom

The following is a PBE-GGA calculation of Li3PmU2S6 after structural relaxation, from the Alexandria database.

```
Li3PmU2S6
1.0
3.3971 -5.8854 0.0000
3.3971 5.8854 0.0000
-2.2696 0.0000 6.2421
Li Pm U S
3 1 2 6
Direct
0.0000 0.0000 0.0000
0.3335 0.6665 0.0000
0.6665 0.3335 0.0000
0.5000 0.5000 0.5000
0.1663 0.8337 0.5000
0.8337 0.1663 0.5000
0.0725 0.4148 0.2442
0.2446 0.2446 0.7589
0.4148 0.0725 0.2442
0.5852 0.9275 0.7558
0.7554 0.7554 0.2411
0.9275 0.5852 0.7558
```

Formation energy from raw total energies ... -1.49 eV per atom
V ... 20.80 Å³/atom

The following is a PBE-GGA calculation of Dy10Tl3Bi3 after structural relaxation, from the Alexandria database.

```
Dy10Tl3Bi3
1.0
9.0564 0.0000 0.0000
-4.5282 7.8431 0.0000
0.0000 0.0000 6.6176
Dy Tl Bi
10 3 3
Direct
0.0000 0.2360 0.0000
0.0000 0.7645 0.5000
0.2355 0.2355 0.5000
0.2360 0.0000 0.0000
0.3333 0.6667 0.2437
0.3333 0.6667 0.7563
0.6667 0.3333 0.2437
0.6667 0.3333 0.7563
0.7640 0.7640 0.0000
0.7645 0.0000 0.5000
0.0000 0.6061 0.0000
0.3939 0.3939 0.0000
0.6061 0.0000 0.0000
0.0000 0.3958 0.5000
0.3958 0.0000 0.5000
0.6042 0.6042 0.5000
```

Formation energy ... -523 meV per atom
V ... 29.38 Å³/atom

The following is a PBE-GGA calculation of ThTe2PbN after structural relaxation, from the Alexandria database.

```
ThTe2PbN
1.0
4.1870 0.0000 0.0000
0.0000 4.1870 0.0000
0.0000 0.0000 16.9637
Th Te Pb N
2 4 2 2
Direct
0.2500 0.2500 0.0665
0.7500 0.7500 0.9335
0.2500 0.2500 0.4152
0.2500 0.2500 0.8249
0.7500 0.7500 0.1751
0.7500 0.7500 0.5848
0.2500 0.2500 0.6480
0.7500 0.7500 0.3520
0.2500 0.7500 0.0000
0.7500 0.2500 0.0000
```

Formation energy from raw total energies ... -0.96 eV per atom
V ... 29.74 Å³/atom

The following is a PBE-GGA calculation of AlGa2Cu after structural relaxation, from the Alexandria database.

```
AlGa2Cu
1.0
2.0709 1.1956 4.5856
-2.0709 1.1956 4.5856
0.0000 -2.3913 4.5856
Al Ga Cu
1 2 1
Direct
0.0000 0.0000 0.0000
0.5768 0.5768 0.5768
0.7790 0.7790 0.7790
0.1850 0.1850 0.1850
```

Formation energy ... 7 meV per atom
V ... 17.03 Å³/atom

The following is a PBE-GGA calculation of TmMgCd2 after structural relaxation, from the Alexandria database.

```
TmMgCd2
1.0
5.0005 0.0000 0.0000
0.0000 5.0005 0.0000
0.0000 0.0000 3.7711
Tm Mg Cd
1 1 2
Direct
0.0000 0.0000 0.0000
0.5000 0.5000 0.0000
0.0000 0.5000 0.5000
0.5000 0.0000 0.5000
```

Formation energy ... -236 meV per atom
V ... 23.57 Å³/atom
Polymorph energy (0 for the lowest one) ... 45 meV per atom

The following is a PBE-GGA calculation of Ba6IrO2 after structural relaxation, from the Alexandria database.

```
Ba6IrO2
1.0
8.0946 -6.7122 0.0000
8.0946 6.7122 0.0000
-2.6243 0.0000 7.5160
Ba Ir O
12 2 4
Direct
0.0276 0.1693 0.4828
0.1335 0.6247 0.8775
0.1693 0.0276 0.9828
0.3181 0.4588 0.3641
0.3753 0.8665 0.6225
0.4588 0.3181 0.8641
0.5412 0.6819 0.1359
0.6247 0.1335 0.3775
0.6819 0.5412 0.6359
0.8307 0.9724 0.0172
0.8665 0.3753 0.1225
0.9724 0.8307 0.5172
0.4031 0.5969 0.7500
0.5969 0.4031 0.2500
0.0129 0.8479 0.8606
0.1521 0.9871 0.6394
0.8479 0.0129 0.3606
0.9871 0.1521 0.1394
```

Formation energy from raw total energies ... -1.13 eV per atom
V ... 45.37 Å³/atom
Polymorph energy (0 for the lowest one) ... 0 meV per atom

The following is a PBE-GGA calculation of Sr2HCl after structural relaxation, from the Alexandria database.

```
Sr2HCl
1.0
2.0001 1.1547 7.4590
-2.0001 1.1547 7.4590
0.0000 -2.3095 7.4590
Sr H Cl
2 1 1
Direct
0.2355 0.2355 0.2355
0.7645 0.7645 0.7645
0.5000 0.5000 0.5000
0.0000 0.0000 0.0000
```

V ... 25.84 Å³/atom
Polymorph energy (0 for the lowest one) ... 0 meV per atom

The following is a PBE-GGA calculation of PrNdAlGe after structural relaxation, from the Alexandria database.

```
PrNdAlGe
1.0
4.1378 0.0000 0.0000
0.0000 2.2625 5.7050
0.0000 -2.2625 5.7050
Pr Nd Al Ge
1 1 1 1
Direct
0.0000 0.0000 0.0000
0.5000 0.2838 0.2838
0.0000 0.7114 0.7114
0.5000 0.5687 0.5687
```

Formation energy ... -658 meV per atom
V ... 26.71 Å³/atom

The following is a PBE-GGA calculation of KNiAsBr2 after structural relaxation, from the Alexandria database.

```
KNiAsBr2
1.0
6.0330 0.0000 0.0000
0.0000 6.0330 0.0000
0.0000 0.0000 6.1026
K Ni As Br
1 1 1 2
Direct
0.0000 0.0000 0.0000
0.5000 0.5000 0.5000
0.0000 0.0000 0.5000
0.0000 0.5000 0.0000
0.5000 0.0000 0.0000
```

Formation energy from raw total energies ... 0.88 eV per atom
V ... 44.42 Å³/atom
Polymorph energy (0 for the lowest one) ... 1317 meV per atom

The following is a PBE-GGA calculation of BaSrZn2 after structural relaxation, from the Alexandria database.

```
BaSrZn2
1.0
3.9617 0.0000 0.0000
0.0000 3.9617 0.0000
0.0000 0.0000 8.7385
Ba Sr Zn
1 1 2
Direct
0.0000 0.0000 0.0000
0.5000 0.5000 0.4112
0.0000 0.0000 0.6203
0.5000 0.5000 0.7733
```

Formation energy ... -55 meV per atom
V ... 34.29 Å³/atom